Material: AuF
Method: DFT, PBE
State: relaxed

## Properties
Fermi-level density of states (states/eV per cell): 2.45
Uncorrected energy (eV per cell): -50.37
Space-group type: No. 87

abc: 9.4196 9.4196 2.9594
angles: 90.00 90.00 90.00
Last column: nearest neighbours and their distance in Å.
Positions (direct):
Au  0.4980  0.3050  0.0000  1 F 2.10
Au  0.5020  0.6950  0.0000  1 F 2.10
Au  0.6950  0.4980  0.0000  1 F 2.10
Au  0.3050  0.5020  0.0000  1 F 2.10
Au  0.9980  0.8050  0.5000  1 F 2.10
Au  0.0020  0.1950  0.5000  1 F 2.10
Au  0.1950  0.9980  0.5000  1 F 2.10
Au  0.8050  0.0020  0.5000  1 F 2.10
F  0.3476  0.8564  0.0000  1 Au 2.10
F  0.6524  0.1436  0.0000  1 Au 2.10
F  0.1436  0.3476  0.0000  1 Au 2.10
F  0.8564  0.6524  0.0000  1 Au 2.10
F  0.8476  0.3564  0.5000  1 Au 2.10
F  0.1524  0.6436  0.5000  1 Au 2.10
F  0.6436  0.8476  0.5000  1 Au 2.10
F  0.3564  0.1524  0.5000  1 Au 2.10

***

Material: AuF4
Method: DFT, PBE
State: relaxed

## Properties
Fermi-level density of states (states/eV per cell): 14.15
Uncorrected energy (eV per cell): -29.84
Space-group type: No. 15

abc: 5.4806 5.4806 5.8603
angles: 89.84 90.16 90.00
Last column: nearest neighbours and their distance in Å.
Positions (direct):
Au  0.4998  0.4998  0.4999  4 F 1.92
Au  0.0002  0.0002  0.9999  4 F 1.92
F  0.8081  0.2931  0.9999  1 Au 1.92
F  0.7926  0.3076  0.5001  1 Au 1.92
F  0.2069  0.6919  0.4999  1 Au 1.92
F  0.7075  0.8083  0.0122  1 Au 1.92
F  0.3078  0.2071  0.4879  1 Au 1.92
F  0.6917  0.7925  0.5122  1 Au 1.92
F  0.1924  0.7074  0.0001  1 Au 1.92
F  0.2929  0.1922  0.9879  1 Au 1.92